Th6CdFe2 | PBE | relaxed

Output
**Magnetization**: 0.000 μB per atom
**Formation energy from the elements**: -0.027 eV per atom

a b c (Å): 9.2607 9.9841 10.3781
angles (deg): 90.00 90.00 90.00
Closest atoms and distances in Å follow each position.
Space group Immm (No. 71)
Asymmetric unit:
1 Th 0.0000 0.2102 0.2309 [8 per cell]  1 Fe 2.75
2 Th 0.1915 0.5000 0.1730 [8 per cell]  3 Fe 2.68-2.96
3 Th 0.2013 0.3223 0.5000 [8 per cell]  3 Fe 2.92-3.23
4 Cd 0.0000 0.0000 0.0000 [2 per cell]  8 Th 3.19-3.29, 2 Fe 3.45
5 Cd 0.0000 0.0000 0.5000 [2 per cell]  12 Th 3.37-3.72
6 Fe 0.0000 0.3457 0.0000 [4 per cell]  6 Th 2.75-2.96, 1 Fe 3.08
7 Fe 0.0000 0.5000 0.3668 [4 per cell]  6 Th 2.68-2.92, 1 Fe 2.77